Entry 1:
A PBEsol-optimized structure of TcSbMo. Source: the Alexandria database, functional meta-GGA SCAN.

Cell: 6.1083 6.1083 6.1083 Å, 90.00 90.00 90.00°
Last column: nearest neighbours and their distance in Å.
Space group F-43m (No. 216)
Symmetry-distinct sites (fractional):
Tc 0.0000 0.0000 0.0000 x4  4 Mo 2.64
Sb 0.0000 0.0000 0.5000 x4  4 Mo 2.64
Mo 0.2500 0.2500 0.7500 x4  4 Sb 2.64, 4 Tc 2.64

Summary:
ΔE to the lowest computed polymorph = 321.7 meV/atom
Magnetization = 0.0 μB/cell
ΔE_f (raw) = 0.92 eV/f.u.

=====

Entry 2:
A PBEsol-optimized structure of TcSbMo2. Source: the Alexandria database, functional meta-GGA SCAN.

Cell: 2.9239 4.3610 5.1738 Å, 90.00 98.14 90.00°
Last column: nearest neighbours and their distance in Å.
Space group Pm (No. 6)
Symmetry-distinct sites (fractional):
Tc 0.0000 0.0000 0.0000 x1  3 Mo 2.53-2.70, 2 Sb 2.65
Sb 0.0098 0.5000 0.7097 x1  2 Tc 2.65, 7 Mo 2.70-2.96, 2 Sb 2.92
Mo 0.4186 0.0000 0.4627 x1  1 Tc 2.53, 2 Mo 2.69
Mo 0.6373 0.5000 0.2016 x1  4 Mo 2.69-2.92, 4 Tc 2.70-2.96, 3 Sb 2.70-2.92

Summary:
Magnetization = 0.0 μB/cell
ΔE_f (raw) = 1.17 eV/f.u.

=====

Entry 3:
A PBEsol-optimized structure of Sb2TeMo. Source: the Alexandria database, functional meta-GGA SCAN.

Cell: 3.3160 4.4434 13.3722 Å, 90.00 90.00 90.00°
Last column: nearest neighbours and their distance in Å.
Space group Imm2 (No. 44)
Symmetry-distinct sites (fractional):
Sb 0.0000 0.0000 0.0000 x2  4 Mo 2.82, 2 Sb 2.98
Sb 0.0000 0.5000 0.1490 x2  4 Sb 2.98-3.32, 2 Mo 2.99
Te 0.0000 0.5000 0.8033 x2  2 Mo 2.70
Mo 0.0000 0.0000 0.4631 x2  2 Te 2.70, 6 Sb 2.82-2.99

Summary:
Magnetization = 0.0 μB/cell
ΔE_f (raw) = 1.08 eV/f.u.

=====

Entry 4:
A PBEsol-optimized structure of SbTe2Mo. Source: the Alexandria database, functional meta-GGA SCAN.

Cell: 3.3533 5.3835 10.8248 Å, 90.00 90.00 90.00°
Last column: nearest neighbours and their distance in Å.
Space group Amm2 (No. 38)
Symmetry-distinct sites (fractional):
Sb 0.0000 0.0000 0.0000 x2  2 Mo 2.75, 2 Te 2.93
Te 0.0000 0.0000 0.6077 x2  2 Mo 2.66, 2 Sb 2.93
Te 0.5000 0.0000 0.2948 x2  2 Mo 2.69
Mo 0.5000 0.0000 0.7985 x2  4 Te 2.66-2.69, 2 Sb 2.75

Summary:
Magnetization = 0.0 μB/cell
ΔE_f (raw) = 0.31 eV/f.u.

=====

Entry 5:
A PBEsol-optimized structure of SbTe2Mo. Source: the Alexandria database, functional meta-GGA SCAN.

Cell: 3.3048 4.5841 13.0778 Å, 90.00 90.00 90.00°
Last column: nearest neighbours and their distance in Å.
Space group Immm (No. 71)
Symmetry-distinct sites (fractional):
Sb 0.0000 0.0000 0.0000 x2  4 Mo 2.83
Te 0.0000 0.5000 0.1730 x4  2 Mo 2.80
Mo 0.0000 0.0000 0.5000 x2  4 Te 2.80, 4 Sb 2.83

Summary:
Magnetization = 0.0 μB/cell
ΔE_f (raw) = 0.95 eV/f.u.

=====

Entry 6:
A PBEsol-optimized structure of SbTe2Mo. Source: the Alexandria database, functional meta-GGA SCAN.

Cell: 3.0743 3.0743 36.5989 Å, 90.00 90.00 120.00°
Last column: nearest neighbours and their distance in Å.
Space group R-3m (No. 166, hexagonal axes)
Symmetry-distinct sites (fractional):
Sb 0.0000 0.0000 0.0000 x3  6 Sb 3.07
Te 0.0000 0.0000 0.4263 x6  1 Mo 2.70
Mo 0.0000 0.0000 0.5000 x3  2 Te 2.70

Summary:
Magnetization = 0.0 μB/cell
ΔE_f (raw) = 3.11 eV/f.u.